# 1
Here is a relaxed structure of TlCu2W from the Alexandria database. Energies are from PBE-GGA.

Properties
Distance to the lowest polymorph of the same formula   146 meV per atom
Raw total energy   -20.89 eV/cell
Space group   C2/m
Calculated formation energy   655 meV/atom

```
TlCu2W
1.0
-1.578 -4.385 0.464
0.781 -4.467 -1.170
2.869 -1.216 4.202
Tl W Cu
1 1 2
direct
0.750 0.750 0.750
0.250 0.250 0.250
0.991 0.991 0.051
0.509 0.509 0.449
```

***

# 2
Here is a relaxed structure of TlCu2W from the Alexandria database. Energies are from PBE-GGA.

Properties
Distance to the lowest polymorph of the same formula   488 meV per atom
Raw total energy   -39.05 eV/cell
Space group   I-42d
Calculated formation energy   997 meV/atom

```
TlCu2W
1.0
-4.034 -4.244 -3.931
-3.182 -2.375 5.829
-5.527 -1.280 0.728
Cu W Tl
4 2 2
direct
0.611 0.125 0.250
0.375 0.389 0.750
0.875 0.861 0.750
0.139 0.625 0.250
0.250 0.750 0.500
0.500 0.500 0.000
0.750 0.250 0.500
0.000 0.000 0.000
```